Entry 1:
Pr2Sm2Th3: relaxed, PBE.

The structure belongs to space group Cmmm (No. 65); the cell edges are 3.568, 37.446 and 3.574 Å and the angles 90.00°, 90.00° and 90.00°. Symmetry generates all atoms from Pr at (0.000, 0.208, 0.000), Sm at (0.000, 0.365, 0.500), Th at (0.000, 0.067, 0.000) and Th at (0.000, 0.500, 0.500).

The value obtained for the formation energy is 51 kJ/mol of formula units.

***

Entry 2:
BaCd3: relaxed, PBE.

The structure belongs to space group P6_3/mmc (No. 194); the cell edges are 7.2943, 7.2943 and 11.0915 Å and the angles 90.00°, 90.00° and 120.00°. Symmetry generates all atoms from Ba at (0.0000, 0.0000, 0.0000), Ba at (0.3333, 0.6667, 0.2500), Cd at (0.0000, 0.5000, 0.0000) and Cd at (0.1901, 0.3802, 0.7500).

The value obtained for the formation energy is -70 kJ/mol of formula units.

***

Total magnetization, record by record: 0.000; 0.000 μB per cell